## MnVP2H2O10 (SCAN)

Data for a PBEsol-optimized structure of MnVP2H2O10.

Unit cell a=5.100 b=5.172 c=7.079 alpha=105.24 beta=107.79 gamma=101.49
Space group P-1 (No. 2)
Symmetry-distinct sites (fractional):
Mn  0.000  0.000  0.000 x1
V  0.000  0.000  0.500 x1
P  0.324  0.674  0.774 x2
H  0.347  0.990  0.317 x2
O  0.104  0.685  0.881 x2
O  0.131  0.957  0.272 x2
O  0.248  0.368  0.627 x2
O  0.314  0.870  0.639 x2
O  0.366  0.238  0.062 x2

Calculated values
Calculated total energy   -10.029 eV/atom